Compound: Tb5Y4Mg
Source: Alexandria
Functional: PBE-GGA
Structure: optimized geometry

Geometry as extended XYZ:
```
10
Lattice="3.580 0.000 0.000 0.000 3.580 0.000 0.000 0.000 24.398" Properties=species:S:1:pos:R:3 pbc="T T T"
Tb 1.790 1.790 12.199
Tb 1.790 1.790 2.171
Tb 1.790 1.790 7.171
Tb 1.790 1.790 17.227
Tb 1.790 1.790 22.227
Y 0.000 0.000 14.713
Y 0.000 0.000 9.685
Y 0.000 0.000 4.647
Y 0.000 0.000 19.751
Mg 0.000 0.000 0.000
```

Computed properties:
E_form, eV/atom: 0.001
Calculated volume, Å³ per atom: 31.27
Excess energy over the best structure of this formula in the dataset, meV per atom: 0
VASP energy, eV per atom: -5.06

***

Compound: Tb2Y6Mg
Source: Alexandria
Functional: PBE-GGA
Structure: optimized geometry

Geometry as extended XYZ:
```
9
Lattice="3.410 0.000 0.622 1.983 5.430 -1.212 -1.279 -3.563 16.663" Properties=species:S:1:pos:R:3 pbc="T T T"
Y 2.643 -0.008 4.825
Y -0.030 -1.062 9.820
Y 3.452 4.181 0.396
Y 0.663 -2.315 15.678
Y 1.471 1.875 11.249
Y 4.145 2.928 6.253
Mg 2.057 0.933 8.037
Tb 1.333 2.079 2.349
Tb 2.781 -0.212 13.725
```

Computed properties:
E_form, eV/atom: 0.174
Calculated volume, Å³ per atom: 32.64
Excess energy over the best structure of this formula in the dataset, meV per atom: 148
VASP energy, eV per atom: -5.34

***

Compound: Tb2Y7Mg2
Source: Alexandria
Functional: PBE-GGA
Structure: optimized geometry

Geometry as extended XYZ:
```
11
Lattice="6.386 -0.666 1.268 -1.174 8.381 0.896 -0.461 0.666 6.495" Properties=species:S:1:pos:R:3 pbc="T T T"
Y 2.485 5.419 2.034
Y 4.618 5.419 4.829
Y -0.545 8.165 6.559
Y 2.266 2.962 6.624
Y 5.296 0.217 2.100
Y 0.133 2.962 3.829
Y -0.587 4.191 0.448
Tb 1.887 0.000 2.472
Tb 4.038 0.000 5.290
Mg 1.382 5.744 5.088
Mg 3.370 2.637 3.570
```

Computed properties:
E_form, eV/atom: 0.049
Calculated volume, Å³ per atom: 31.17
Excess energy over the best structure of this formula in the dataset, meV per atom: 0
VASP energy, eV per atom: -5.20

***

Compound: Tb3Y3Mg
Source: Alexandria
Functional: PBE-GGA
Structure: optimized geometry

Geometry as extended XYZ:
```
14
Lattice="-1.327 4.188 4.357 3.407 0.285 5.157 9.231 10.585 -2.972" Properties=species:S:1:pos:R:3 pbc="T T T"
Y 9.864 9.040 1.623
Y 7.867 11.727 2.826
Y 1.447 6.019 4.919
Y 3.444 3.332 3.716
Y 4.155 4.800 6.878
Y 7.156 10.259 -0.336
Tb 3.622 6.482 2.195
Tb 4.319 7.973 5.370
Tb 4.972 9.787 2.361
Tb 6.992 7.086 1.172
Tb 6.340 5.272 4.181
Tb 7.689 8.577 4.347
Mg 0.694 1.491 3.171
Mg 10.618 13.567 3.371
```

Computed properties:
E_form, eV/atom: 0.107
Calculated volume, Å³ per atom: 32.93
Excess energy over the best structure of this formula in the dataset, meV per atom: 93
VASP energy, eV per atom: -4.88